# 1
# DyZn6Ag4

Crystalline DyZn6Ag4 at its relaxed geometry (PBE, the Alexandria database).

Magnetization in Bohr magnetons per cell: 0.0

Structure (extended XYZ):
```
11
Lattice="4.210 0.000 0.000 0.000 7.410 0.000 0.000 -3.705 6.417" Properties=species:S:1:pos:R:3 pbc="T T T"
Zn 2.105 -1.420 5.098
Zn 0.000 3.705 0.496
Zn 2.105 0.000 2.639
Zn 0.000 2.282 2.961
Zn 2.105 1.420 5.098
Zn 0.000 5.128 2.961
Ag 0.000 0.000 4.278
Ag 2.105 2.191 1.265
Ag 2.105 5.219 1.265
Ag 2.105 3.705 3.887
Dy 0.000 0.000 0.000
```

=====

# 2
# DyZn5Ag7

Crystalline DyZn5Ag7 at its relaxed geometry (PBE, the Alexandria database).

Magnetization in Bohr magnetons per cell: 0.0

Structure (extended XYZ):
```
13
Lattice="5.241 0.000 0.000 2.621 6.590 0.040 2.621 0.019 6.590" Properties=species:S:1:pos:R:3 pbc="T T T"
Ag 5.241 5.215 1.355
Ag 5.241 4.363 4.377
Ag 7.862 2.293 4.329
Ag 5.241 2.325 2.333
Ag 7.862 4.322 2.307
Ag 5.241 1.338 5.220
Ag 2.621 1.455 1.459
Zn 3.928 6.574 3.332
Zn 6.555 3.311 6.585
Zn 7.862 5.154 5.171
Zn 6.555 6.574 3.332
Zn 3.928 3.311 6.585
Dy 5.241 0.024 0.024
```

=====

# 3
# Dy3ZnAg2

Crystalline Dy3ZnAg2 at its relaxed geometry (PBE, the Alexandria database).

Magnetization in Bohr magnetons per cell: 0.0

Structure (extended XYZ):
```
12
Lattice="5.117 0.000 0.000 -2.558 4.431 0.000 0.000 0.000 12.495" Properties=species:S:1:pos:R:3 pbc="T T T"
Dy 0.000 2.954 11.433
Dy 0.000 0.000 9.344
Dy 2.558 1.477 7.277
Dy 2.558 1.477 1.062
Dy 0.000 0.000 3.150
Dy 0.000 2.954 5.218
Ag 0.000 0.000 6.247
Ag 0.000 2.954 2.132
Ag 0.000 0.000 0.000
Ag 2.558 1.477 10.363
Zn 2.558 1.477 4.153
Zn 0.000 2.954 8.341
```

=====

# 4
# DyZn3Ag9

Crystalline DyZn3Ag9 at its relaxed geometry (PBE, the Alexandria database).

Magnetization in Bohr magnetons per cell: 0.0

Structure (extended XYZ):
```
13
Lattice="-1.783 0.599 -4.962 2.552 -5.234 -4.035 -6.219 -3.427 -1.017" Properties=species:S:1:pos:R:3 pbc="T T T"
Dy 0.000 0.000 0.000
Zn -4.001 -1.414 -2.989
Zn -3.109 -1.713 -0.508
Zn 0.384 -2.318 -4.498
Ag -2.530 -2.608 -5.055
Ag -5.259 -3.485 -4.219
Ag -0.191 -4.577 -5.795
Ag -4.110 -6.395 -7.443
Ag -2.272 -4.079 -7.862
Ag 1.276 -2.617 -2.017
Ag -3.178 -3.983 -2.151
Ag -2.920 -5.455 -4.958
Ag -1.340 -1.667 -2.570
```

=====

# 5
# DyZn4Ag

Crystalline DyZn4Ag at its relaxed geometry (PBE, the Alexandria database).

Distance to the lowest polymorph of the same formula in eV per atom: 0.000
Magnetization in Bohr magnetons per cell: 0.0

Structure (extended XYZ):
```
12
Lattice="4.045 0.000 0.000 0.000 6.596 0.000 -2.022 0.000 8.254" Properties=species:S:1:pos:R:3 pbc="T T T"
Ag 2.022 1.649 4.341
Ag 0.000 4.947 3.913
Zn 2.022 6.229 2.646
Zn 0.000 2.931 5.607
Zn 0.000 4.947 1.177
Zn 2.022 0.000 0.000
Zn 0.000 0.367 5.607
Zn 2.022 3.298 0.000
Zn 2.022 1.649 7.076
Zn 2.022 3.665 2.646
Dy 0.000 1.649 1.843
Dy 2.022 4.947 6.411
```

=====

# 6
# Dy4ZnAg2

Crystalline Dy4ZnAg2 at its relaxed geometry (PBE, the Alexandria database).

Magnetization in Bohr magnetons per cell: 0.0

Structure (extended XYZ):
```
7
Lattice="-3.094 2.701 -2.983 -4.551 1.452 1.716 0.744 8.321 2.442" Properties=species:S:1:pos:R:3 pbc="T T T"
Zn 0.000 0.000 0.000
Ag -5.160 9.388 0.894
Ag -1.741 3.085 0.280
Dy -0.501 5.698 1.359
Dy -6.400 6.775 -0.185
Dy -4.663 3.682 -0.468
Dy -2.238 8.791 1.642
```

=====

# 7
# Dy4Zn5Ag

Crystalline Dy4Zn5Ag at its relaxed geometry (PBE, the Alexandria database).

Magnetization in Bohr magnetons per cell: 0.0

Structure (extended XYZ):
```
10
Lattice="3.510 0.000 0.000 0.000 3.510 0.000 0.000 0.000 17.336" Properties=species:S:1:pos:R:3 pbc="T T T"
Dy 0.000 0.000 10.480
Dy 0.000 0.000 6.856
Dy 0.000 0.000 3.281
Dy 0.000 0.000 14.055
Ag 0.000 0.000 0.000
Zn 1.755 1.755 15.923
Zn 1.755 1.755 8.668
Zn 1.755 1.755 12.265
Zn 1.755 1.755 5.071
Zn 1.755 1.755 1.413
```

=====

# 8
# Dy2Zn5Ag5

Crystalline Dy2Zn5Ag5 at its relaxed geometry (PBE, the Alexandria database).

Distance to the lowest polymorph of the same formula in eV per atom: 0.039
Magnetization in Bohr magnetons per cell: 0.0

Structure (extended XYZ):
```
12
Lattice="4.291 0.000 0.000 0.000 5.624 0.000 0.000 0.000 9.477" Properties=species:S:1:pos:R:3 pbc="T T T"
Zn 0.000 2.812 3.162
Zn 0.000 0.000 1.497
Zn 0.000 2.812 6.315
Zn 2.146 0.000 0.000
Zn 0.000 0.000 7.980
Ag 2.146 1.410 2.290
Ag 2.146 4.213 2.290
Ag 2.146 1.410 7.188
Ag 2.146 4.213 7.188
Ag 2.146 2.812 4.739
Dy 0.000 2.812 0.000
Dy 0.000 0.000 4.739
```

=====

no.,D(E_F) (states/eV per cell),E_form (eV per atom)
1,3.79,-0.0794
2,4.50,-0.1407
3,7.94,-0.3252
4,4.87,-0.1043
5,6.81,-0.1905
6,6.63,-0.1733
7,8.66,-0.2769
8,5.64,-0.1865